1.
A crystal of YSc2As relaxed with PBEsol. Source: the Alexandria database, functional meta-GGA SCAN.

Total moment   1.1 μB per formula unit
Total DFT energy (no corrections)   -78.2 eV per formula unit

```
data_YSc2As
_chemical_formula_sum 'Y3 Sc6 As3'
_cell_length_a 3.5572
_cell_length_b 3.5572
_cell_length_c 28.6858
_cell_angle_alpha 90.00
_cell_angle_beta 90.00
_cell_angle_gamma 120.00
_symmetry_space_group_name_H-M 'R -3 m'
_symmetry_Int_Tables_number 166
_symmetry_space_group_name_Hall '-R 3 2"'
loop_
_atom_site_label
_atom_site_type_symbol
_atom_site_fract_x
_atom_site_fract_y
_atom_site_fract_z
_atom_site_occupancy
Y1 Y 0.0000 0.0000 0.0000 1
Sc1 Sc 0.0000 0.0000 0.1114 1
As1 As 0.0000 0.0000 0.5000 1
```

---

2.
A crystal of Y2ScAs relaxed with PBEsol. Source: the Alexandria database, functional meta-GGA SCAN.

Total moment   0.0 μB per formula unit
Total DFT energy (no corrections)   -92.6 eV per formula unit

```
data_Y2ScAs
_chemical_formula_sum 'Y2 Sc1 As1'
_cell_length_a 3.838
_cell_length_b 3.838
_cell_length_c 6.378
_cell_angle_alpha 90.00
_cell_angle_beta 90.00
_cell_angle_gamma 90.00
_symmetry_space_group_name_H-M 'P 4/m m m'
_symmetry_Int_Tables_number 123
_symmetry_space_group_name_Hall '-P 4 2'
loop_
_atom_site_label
_atom_site_type_symbol
_atom_site_fract_x
_atom_site_fract_y
_atom_site_fract_z
_atom_site_occupancy
Y1 Y 0.000 0.000 0.230 1
Sc1 Sc 0.500 0.500 0.500 1
As1 As 0.500 0.500 0.000 1
```

---

3.
A crystal of ScZn2As2 relaxed with PBEsol. Source: the Alexandria database, functional meta-GGA SCAN.

Total moment   0.0 μB per formula unit
Total DFT energy (no corrections)   -83.5 eV per formula unit

```
data_ScZn2As2
_chemical_formula_sum 'Sc2 Zn4 As4'
_cell_length_a 3.674
_cell_length_b 3.674
_cell_length_c 13.088
_cell_angle_alpha 90.00
_cell_angle_beta 90.00
_cell_angle_gamma 90.00
_symmetry_space_group_name_H-M 'I 4/m m m'
_symmetry_Int_Tables_number 139
_symmetry_space_group_name_Hall '-I 4 2'
loop_
_atom_site_label
_atom_site_type_symbol
_atom_site_fract_x
_atom_site_fract_y
_atom_site_fract_z
_atom_site_occupancy
Sc1 Sc 0.000 0.000 0.000 1
Zn1 Zn 0.000 0.500 0.250 1
As1 As 0.000 0.000 0.395 1
```